Entry 1:
# TlZnAg2

A relaxed TlZnAg2 crystal (PBE, the Alexandria database).

CIF file:
```
data_TlZnAg2
_symmetry_space_group_name_H-M 'C 1 2/m 1'
_symmetry_Int_Tables_number 12
_cell_length_a 9.763
_cell_length_b 3.248
_cell_length_c 5.190
_cell_angle_alpha 90.00
_cell_angle_beta 106.25
_cell_angle_gamma 90.00
loop_
_symmetry_equiv_pos_as_xyz
'x,y,z'
'-x,-y,-z'
'-x,y,-z'
'x,-y,z'
'x+1/2,y+1/2,z'
'-x+1/2,-y+1/2,-z'
'-x+1/2,y+1/2,-z'
'x+1/2,-y+1/2,z'
loop_
_atom_site_label
_atom_site_type_symbol
_atom_site_fract_x
_atom_site_fract_y
_atom_site_fract_z
_atom_site_occupancy
Tl1 Tl 0.000 0.000 0.000 1
Zn1 Zn 0.000 0.500 0.500 1
Ag1 Ag 0.232 0.000 0.724 1
```

N(E_F) in states/eV per cell: 2.2
E in eV/atom: -2.217

Entry 2:
# NbAs3H

A relaxed NbAs3H crystal (PBE, the Alexandria database).

CIF file:
```
data_NbAs3H
_symmetry_space_group_name_H-M 'P m -3 m'
_symmetry_Int_Tables_number 221
_symmetry_space_group_name_Hall '-P 4 2 3'
_cell_length_a 4.248
_cell_length_b 4.248
_cell_length_c 4.248
_cell_angle_alpha 90.00
_cell_angle_beta 90.00
_cell_angle_gamma 90.00
loop_
_atom_site_label
_atom_site_type_symbol
_atom_site_fract_x
_atom_site_fract_y
_atom_site_fract_z
_atom_site_occupancy
Nb1 Nb 0.000 0.000 0.000 1
As1 As 0.000 0.500 0.500 1
H1 H 0.500 0.500 0.500 1
```

N(E_F) in states/eV per cell: 4.0
E above lowest polymorph in eV per formula unit: 0.00
E in eV/atom: -4.950

Entry 3:
# LiPuAgSe3

A relaxed LiPuAgSe3 crystal (PBE, the Alexandria database).

CIF file:
```
data_LiPuAgSe3
_symmetry_space_group_name_H-M 'P 1 21/m 1'
_symmetry_Int_Tables_number 11
_cell_length_a 7.330
_cell_length_b 3.927
_cell_length_c 9.683
_cell_angle_alpha 90.00
_cell_angle_beta 108.31
_cell_angle_gamma 90.00
loop_
_symmetry_equiv_pos_as_xyz
'x,y,z'
'-x,-y,-z'
'-x,y+1/2,-z'
'x,-y+1/2,z'
loop_
_atom_site_label
_atom_site_type_symbol
_atom_site_fract_x
_atom_site_fract_y
_atom_site_fract_z
_atom_site_occupancy
Li1 Li 0.189 0.250 0.123 1
Pu1 Pu 0.245 0.750 0.730 1
Ag1 Ag 0.373 0.750 0.398 1
Se1 Se 0.049 0.250 0.840 1
Se2 Se 0.184 0.250 0.492 1
Se3 Se 0.454 0.750 0.152 1
```

N(E_F) in states/eV per cell: 19.8
E_form (uncorrected) in eV per formula unit: -5.450
E in eV/atom: -5.833

Entry 4:
# SbTe3

A relaxed SbTe3 crystal (PBE, the Alexandria database).

CIF file:
```
data_SbTe3
_symmetry_space_group_name_H-M 'P m -3 n'
_symmetry_Int_Tables_number 223
_symmetry_space_group_name_Hall '-P 4n 2 3'
_cell_length_a 6.125
_cell_length_b 6.125
_cell_length_c 6.125
_cell_angle_alpha 90.00
_cell_angle_beta 90.00
_cell_angle_gamma 90.00
loop_
_atom_site_label
_atom_site_type_symbol
_atom_site_fract_x
_atom_site_fract_y
_atom_site_fract_z
_atom_site_occupancy
Sb1 Sb 0.000 0.000 0.000 1
Te1 Te 0.000 0.250 0.500 1
```

N(E_F) in states/eV per cell: 10.7
E above lowest polymorph in eV per formula unit: 1.34
E_form (uncorrected) in eV per formula unit: 1.378
E in eV/atom: -3.042

Entry 5:
# Ba2IrAu

A relaxed Ba2IrAu crystal (PBE, the Alexandria database).

CIF file:
```
data_Ba2IrAu
_symmetry_space_group_name_H-M 'I -4 2 d'
_symmetry_Int_Tables_number 122
_symmetry_space_group_name_Hall 'I -4 2bw'
_cell_length_a 8.338
_cell_length_b 8.338
_cell_length_c 8.283
_cell_angle_alpha 90.00
_cell_angle_beta 90.00
_cell_angle_gamma 90.00
loop_
_atom_site_label
_atom_site_type_symbol
_atom_site_fract_x
_atom_site_fract_y
_atom_site_fract_z
_atom_site_occupancy
Ba1 Ba 0.215 0.250 0.125 1
Ir1 Ir 0.000 0.000 0.000 1
Au1 Au 0.000 0.000 0.500 1
```

N(E_F) in states/eV per cell: 0.3
E above lowest polymorph in eV per formula unit: 1.15
E in eV/atom: -4.009

Entry 6:
# Tb4N3

A relaxed Tb4N3 crystal (PBE, the Alexandria database).

CIF file:
```
data_Tb4N3
_symmetry_space_group_name_H-M 'P m -3 m'
_symmetry_Int_Tables_number 221
_symmetry_space_group_name_Hall '-P 4 2 3'
_cell_length_a 4.944
_cell_length_b 4.944
_cell_length_c 4.944
_cell_angle_alpha 90.00
_cell_angle_beta 90.00
_cell_angle_gamma 90.00
loop_
_atom_site_label
_atom_site_type_symbol
_atom_site_fract_x
_atom_site_fract_y
_atom_site_fract_z
_atom_site_occupancy
Tb1 Tb 0.000 0.000 0.000 1
Tb2 Tb 0.000 0.500 0.500 1
N1 N 0.000 0.000 0.500 1
```

N(E_F) in states/eV per cell: 2.7
E_form (uncorrected) in eV per formula unit: -9.533
E in eV/atom: -7.576

Entry 7:
# FeRh2Se

A relaxed FeRh2Se crystal (PBE, the Alexandria database).

CIF file:
```
data_FeRh2Se
_symmetry_space_group_name_H-M 'P m m 2'
_symmetry_Int_Tables_number 25
_cell_length_a 3.055
_cell_length_b 3.789
_cell_length_c 5.204
_cell_angle_alpha 90.00
_cell_angle_beta 90.00
_cell_angle_gamma 90.00
loop_
_symmetry_equiv_pos_as_xyz
'x,y,z'
'-x,-y,z'
'-x,y,z'
'x,-y,z'
loop_
_atom_site_label
_atom_site_type_symbol
_atom_site_fract_x
_atom_site_fract_y
_atom_site_fract_z
_atom_site_occupancy
Fe1 Fe 0.000 0.000 0.000 1
Rh1 Rh 0.000 0.000 0.493 1
Rh2 Rh 0.500 0.500 0.168 1
Se1 Se 0.500 0.500 0.664 1
```

N(E_F) in states/eV per cell: 2.8
E_form (uncorrected) in eV per formula unit: 0.315
E in eV/atom: -6.584

Entry 8:
# Nd3Dy2Tm6

A relaxed Nd3Dy2Tm6 crystal (PBE, the Alexandria database).

CIF file:
```
data_Nd3Dy2Tm6
_symmetry_space_group_name_H-M 'C 1 2/m 1'
_symmetry_Int_Tables_number 12
_cell_length_a 6.130
_cell_length_b 10.638
_cell_length_c 11.504
_cell_angle_alpha 90.00
_cell_angle_beta 100.36
_cell_angle_gamma 90.00
loop_
_symmetry_equiv_pos_as_xyz
'x,y,z'
'-x,-y,-z'
'-x,y,-z'
'x,-y,z'
'x+1/2,y+1/2,z'
'-x+1/2,-y+1/2,-z'
'-x+1/2,y+1/2,-z'
'x+1/2,-y+1/2,z'
loop_
_atom_site_label
_atom_site_type_symbol
_atom_site_fract_x
_atom_site_fract_y
_atom_site_fract_z
_atom_site_occupancy
Nd1 Nd 0.000 0.000 0.000 1
Nd2 Nd 0.000 0.336 0.000 1
Dy1 Dy 0.000 0.166 0.500 1
Tm1 Tm 0.248 0.334 0.746 1
Tm2 Tm 0.249 0.000 0.746 1
```

N(E_F) in states/eV per cell: 36.4
E above lowest polymorph in eV per formula unit: 0.00
E in eV/atom: -4.370

Entry 9:
# Cd3HRh

A relaxed Cd3HRh crystal (PBE, the Alexandria database).

CIF file:
```
data_Cd3HRh
_symmetry_space_group_name_H-M 'P m -3 m'
_symmetry_Int_Tables_number 221
_symmetry_space_group_name_Hall '-P 4 2 3'
_cell_length_a 5.207
_cell_length_b 5.207
_cell_length_c 5.207
_cell_angle_alpha 90.00
_cell_angle_beta 90.00
_cell_angle_gamma 90.00
loop_
_atom_site_label
_atom_site_type_symbol
_atom_site_fract_x
_atom_site_fract_y
_atom_site_fract_z
_atom_site_occupancy
Cd1 Cd 0.000 0.000 0.500 1
H1 H 0.500 0.500 0.500 1
Rh1 Rh 0.000 0.000 0.000 1
```

N(E_F) in states/eV per cell: 1.4
E above lowest polymorph in eV per formula unit: 3.25
E in eV/atom: -2.081

Entry 10:
# Ca3U3BeAs8

A relaxed Ca3U3BeAs8 crystal (PBE, the Alexandria database).

CIF file:
```
data_Ca3U3BeAs8
_symmetry_space_group_name_H-M 'C 1 2/m 1'
_symmetry_Int_Tables_number 12
_cell_length_a 13.830
_cell_length_b 8.315
_cell_length_c 8.140
_cell_angle_alpha 90.00
_cell_angle_beta 123.37
_cell_angle_gamma 90.00
loop_
_symmetry_equiv_pos_as_xyz
'x,y,z'
'-x,-y,-z'
'-x,y,-z'
'x,-y,z'
'x+1/2,y+1/2,z'
'-x+1/2,-y+1/2,-z'
'-x+1/2,y+1/2,-z'
'x+1/2,-y+1/2,z'
loop_
_atom_site_label
_atom_site_type_symbol
_atom_site_fract_x
_atom_site_fract_y
_atom_site_fract_z
_atom_site_occupancy
Ca1 Ca 0.000 0.000 0.000 1
Ca2 Ca 0.250 0.250 0.000 1
U1 U 0.000 0.500 0.500 1
U2 U 0.250 0.250 0.500 1
Be1 Be 0.000 0.000 0.500 1
As1 As 0.012 0.272 0.263 1
As2 As 0.199 0.000 0.684 1
As3 As 0.245 0.500 0.734 1
```

N(E_F) in states/eV per cell: 35.9
E in eV/atom: -5.954

Entry 11:
# Sm3LuC

A relaxed Sm3LuC crystal (PBE, the Alexandria database).

CIF file:
```
data_Sm3LuC
_symmetry_space_group_name_H-M 'P m -3 m'
_symmetry_Int_Tables_number 221
_symmetry_space_group_name_Hall '-P 4 2 3'
_cell_length_a 5.153
_cell_length_b 5.153
_cell_length_c 5.153
_cell_angle_alpha 90.00
_cell_angle_beta 90.00
_cell_angle_gamma 90.00
loop_
_atom_site_label
_atom_site_type_symbol
_atom_site_fract_x
_atom_site_fract_y
_atom_site_fract_z
_atom_site_occupancy
Sm1 Sm 0.000 0.000 0.500 1
Lu1 Lu 0.500 0.500 0.500 1
C1 C 0.000 0.000 0.000 1
```

N(E_F) in states/eV per cell: 7.0
E in eV/atom: -5.524

Entry 12:
# Zn3AuC

A relaxed Zn3AuC crystal (PBE, the Alexandria database).

CIF file:
```
data_Zn3AuC
_symmetry_space_group_name_H-M 'P m -3 m'
_symmetry_Int_Tables_number 221
_symmetry_space_group_name_Hall '-P 4 2 3'
_cell_length_a 4.919
_cell_length_b 4.919
_cell_length_c 4.919
_cell_angle_alpha 90.00
_cell_angle_beta 90.00
_cell_angle_gamma 90.00
loop_
_atom_site_label
_atom_site_type_symbol
_atom_site_fract_x
_atom_site_fract_y
_atom_site_fract_z
_atom_site_occupancy
Zn1 Zn 0.000 0.000 0.500 1
Au1 Au 0.000 0.000 0.000 1
C1 C 0.500 0.500 0.500 1
```

N(E_F) in states/eV per cell: 2.6
E above lowest polymorph in eV per formula unit: 5.02
E in eV/atom: -1.837